Record 1
Entry from Alexandria via LeMat-Bulk: a relaxed Tb4ErP5 crystal (PBE).

```
Tb4ErP5
1.0
5.1169 0.0000 2.4680
2.5585 6.3511 1.2340
-0.2007 0.0000 6.9545
Er P Tb
1 5 4
direct
0.0011 0.0000 0.0000
0.7029 0.1987 0.3976
0.5011 0.0000 0.0000
0.2992 0.8013 0.6024
0.1005 0.6024 0.1987
0.9016 0.3976 0.8013
0.6005 0.6006 0.2004
0.2011 0.2004 0.3994
0.8009 0.7996 0.6006
0.4015 0.3994 0.7996
```

## Properties
The calculation puts the total magnetic moment at 0.0 μB per cell. As for the theoretical density: 6.94 g/cm³. The value obtained for the formation energy is -1613 meV/atom.

Record 2
Entry from Alexandria via LeMat-Bulk: a relaxed TbEr2Th3P6 crystal (PBE).

```
TbEr2Th3P6
1.0
-6.5474 2.5244 -0.8123
2.0332 -5.7385 -3.5827
-0.5870 -2.7593 6.4118
P Th Tb Er
6 3 1 2
direct
0.5841 0.9195 0.7585
0.2551 0.2551 0.7588
0.4159 0.0805 0.2415
0.7449 0.7449 0.2412
0.0805 0.4159 0.2415
0.9195 0.5841 0.7585
0.8337 0.1663 0.5000
0.5000 0.5000 0.5000
0.1663 0.8337 0.5000
0.0000 0.0000 0.0000
0.6668 0.3332 0.0000
0.3332 0.6668 0.0000
```

## Properties
The calculation puts the total magnetic moment at 0.0 μB per cell. As for the theoretical density: 8.00 g/cm³. The value obtained for the formation energy is -1582 meV/atom.

| no. | electronic total energy (eV/atom) |
| --- | --- |
| 1 | -6.6259 |
| 2 | -7.2885 |